Entry 1:
First-principles (PBE) data for crystalline LaSiAs2Se at its relaxed geometry, as listed in Alexandria via LeMat-Bulk. Values from VASP.

Properties
Calculated density ... 3.646 g/cm³
Energy ... -19.5 eV per formula unit
ΔE_f (raw) ... 737 meV per atom
Space group ... P4/mmm
Polymorph energy (0 for the lowest one) ... 5.71 eV per formula unit
N(E_F) ... 1.422 states/eV/atom
Size of the total moment ... 0.00 μB per formula unit
Calculated volume ... 36.05 Å³ per atom

Quantum ESPRESSO input file:
```
&SYSTEM
  ibrav = 0, nat = 5, ntyp = 4
/
ATOMIC_SPECIES
La 138.91 La.upf
Si 28.09 Si.upf
As 74.92 As.upf
Se 78.96 Se.upf
CELL_PARAMETERS angstrom
5.661 0.000 0.000
0.000 5.661 0.000
0.000 0.000 5.626
ATOMIC_POSITIONS angstrom
La 0.000 0.000 0.000
Si 2.830 2.830 2.813
As 0.000 2.830 0.000
As 2.830 0.000 0.000
Se 0.000 0.000 2.813
```

---

Entry 2:
First-principles (PBE) data for crystalline La6Si2AsSe3 at its relaxed geometry, as listed in Alexandria via LeMat-Bulk. Values from VASP.

Properties
Calculated density ... 5.637 g/cm³
Energy ... -73.8 eV per formula unit
ΔE_f (raw) ... -1527 meV per atom
Space group ... C2/m
N(E_F) ... 0.224 states/eV/atom
Size of the total moment ... 0.00 μB per formula unit
Calculated volume ... 29.49 Å³ per atom

Quantum ESPRESSO input file:
```
&SYSTEM
  ibrav = 0, nat = 12, ntyp = 4
/
ATOMIC_SPECIES
La 138.91 La.upf
Si 28.09 Si.upf
As 74.92 As.upf
Se 78.96 Se.upf
CELL_PARAMETERS angstrom
9.522 -2.183 0.000
9.522 2.183 0.000
-2.012 0.000 8.513
ATOMIC_POSITIONS angstrom
La -0.429 0.000 2.098
La 5.452 0.000 3.597
La 4.543 0.000 7.736
La 12.488 0.000 0.777
La 11.579 0.000 4.915
La 17.461 0.000 6.415
Si 2.493 0.000 2.826
Si 14.539 0.000 5.687
As 9.522 0.000 0.000
Se 1.475 0.000 7.099
Se 8.516 0.000 4.256
Se 15.556 0.000 1.414
```

---

Entry 3:
First-principles (PBE) data for crystalline La4SiAsSe2 at its relaxed geometry, as listed in Alexandria via LeMat-Bulk. Values from VASP.

Properties
Calculated density ... 5.769 g/cm³
Energy ... -49.7 eV per formula unit
ΔE_f (raw) ... -1613 meV per atom
Space group ... P2/m
N(E_F) ... 0.237 states/eV/atom
Size of the total moment ... 0.00 μB per formula unit
Calculated volume ... 29.38 Å³ per atom

Quantum ESPRESSO input file:
```
&SYSTEM
  ibrav = 0, nat = 8, ntyp = 4
/
ATOMIC_SPECIES
La 138.91 La.upf
Si 28.09 Si.upf
As 74.92 As.upf
Se 78.96 Se.upf
CELL_PARAMETERS angstrom
7.557 0.000 0.000
0.000 4.362 0.000
-2.515 0.000 7.130
ATOMIC_POSITIONS angstrom
La 1.243 0.000 1.711
La -0.018 2.181 5.422
La 5.060 2.181 1.709
La 3.800 0.000 5.419
Si 0.000 2.181 0.000
As 3.779 0.000 0.000
Se -1.257 0.000 3.565
Se 2.521 2.181 3.565
```

---

Entry 4:
First-principles (PBE) data for crystalline LaSmAsSe at its relaxed geometry, as listed in Alexandria via LeMat-Bulk. Values from VASP.

Properties
Calculated density ... 6.667 g/cm³
Energy ... -24.9 eV per formula unit
ΔE_f (raw) ... -1785 meV per atom
Space group ... R3m
N(E_F) ... 0.474 states/eV/atom
Size of the total moment ... 0.00 μB per formula unit
Calculated volume ... 27.59 Å³ per atom

Quantum ESPRESSO input file:
```
&SYSTEM
  ibrav = 0, nat = 12, ntyp = 4
/
ATOMIC_SPECIES
La 138.91 La.upf
Sm 150.36 Sm.upf
As 74.92 As.upf
Se 78.96 Se.upf
CELL_PARAMETERS angstrom
4.265 0.000 0.000
-2.133 3.694 0.000
0.000 0.000 21.013
ATOMIC_POSITIONS angstrom
La 0.000 0.000 0.000
La 0.000 2.463 14.009
La 2.133 1.231 7.004
Sm 0.000 0.000 10.643
Sm 0.000 2.463 3.639
Sm 2.133 1.231 17.647
As 0.000 0.000 5.262
As 0.000 2.463 19.271
As 2.133 1.231 12.267
Se 0.000 0.000 15.887
Se 0.000 2.463 8.883
Se 2.133 1.231 1.879
```

---

Entry 5:
First-principles (PBE) data for crystalline La6SnAs2Se3 at its relaxed geometry, as listed in Alexandria via LeMat-Bulk. Values from VASP.

Properties
Calculated density ... 6.145 g/cm³
Energy ... -73.4 eV per formula unit
ΔE_f (raw) ... -1672 meV per atom
Space group ... C2/m
N(E_F) ... 0.386 states/eV/atom
Size of the total moment ... 0.00 μB per formula unit
Calculated volume ... 30.15 Å³ per atom

Quantum ESPRESSO input file:
```
&SYSTEM
  ibrav = 0, nat = 12, ntyp = 4
/
ATOMIC_SPECIES
La 138.91 La.upf
Sn 118.71 Sn.upf
As 74.92 As.upf
Se 78.96 Se.upf
CELL_PARAMETERS angstrom
9.584 -2.204 0.000
9.584 2.204 0.000
-1.977 0.000 8.564
ATOMIC_POSITIONS angstrom
La -0.462 0.000 2.206
La 5.509 0.000 3.614
La 4.545 0.000 7.786
La 12.647 0.000 0.778
La 11.683 0.000 4.950
La 17.654 0.000 6.358
Sn 9.584 0.000 0.000
As 2.561 0.000 2.873
As 14.631 0.000 5.691
Se 1.539 0.000 7.121
Se 8.596 0.000 4.282
Se 15.653 0.000 1.443
```

---

Entry 6:
First-principles (PBE) data for crystalline LaSnAsSe2 at its relaxed geometry, as listed in Alexandria via LeMat-Bulk. Values from VASP.

Properties
Calculated density ... 4.473 g/cm³
Energy ... -21.0 eV per formula unit
ΔE_f (raw) ... -99 meV per atom
Space group ... P4/mmm
Polymorph energy (0 for the lowest one) ... 1.76 eV per formula unit
N(E_F) ... 1.331 states/eV/atom
Size of the total moment ... 0.15 μB per formula unit
Calculated volume ... 36.41 Å³ per atom

Quantum ESPRESSO input file:
```
&SYSTEM
  ibrav = 0, nat = 5, ntyp = 4
/
ATOMIC_SPECIES
La 138.91 La.upf
Sn 118.71 Sn.upf
As 74.92 As.upf
Se 78.96 Se.upf
CELL_PARAMETERS angstrom
5.676 0.000 0.000
0.000 5.676 0.000
0.000 0.000 5.651
ATOMIC_POSITIONS angstrom
La 0.000 0.000 0.000
Sn 2.838 2.838 2.826
As 0.000 0.000 2.826
Se 0.000 2.838 0.000
Se 2.838 0.000 0.000
```

---

Entry 7:
First-principles (PBE) data for crystalline LaSnAsSe2 at its relaxed geometry, as listed in Alexandria via LeMat-Bulk. Values from VASP.

Properties
Calculated density ... 5.655 g/cm³
Energy ... -22.8 eV per formula unit
ΔE_f (raw) ... -450 meV per atom
Space group ... P4/mmm
Polymorph energy (0 for the lowest one) ... 0.00 eV per formula unit
N(E_F) ... 0.736 states/eV/atom
Size of the total moment ... 0.00 μB per formula unit
Calculated volume ... 28.80 Å³ per atom

Quantum ESPRESSO input file:
```
&SYSTEM
  ibrav = 0, nat = 5, ntyp = 4
/
ATOMIC_SPECIES
La 138.91 La.upf
Sn 118.71 Sn.upf
As 74.92 As.upf
Se 78.96 Se.upf
CELL_PARAMETERS angstrom
5.271 0.000 0.000
0.000 5.271 0.000
0.000 0.000 5.183
ATOMIC_POSITIONS angstrom
La 0.000 0.000 0.000
Sn 2.636 2.636 2.591
As 2.636 2.636 0.000
Se 0.000 2.636 2.591
Se 2.636 0.000 2.591
```

---

Entry 8:
First-principles (PBE) data for crystalline La4SnAs2Se at its relaxed geometry, as listed in Alexandria via LeMat-Bulk. Values from VASP.

Properties
Calculated density ... 6.085 g/cm³
Energy ... -48.3 eV per formula unit
ΔE_f (raw) ... -1473 meV per atom
Space group ... P2/m
N(E_F) ... 0.228 states/eV/atom
Size of the total moment ... 0.00 μB per formula unit
Calculated volume ... 30.81 Å³ per atom

Quantum ESPRESSO input file:
```
&SYSTEM
  ibrav = 0, nat = 8, ntyp = 4
/
ATOMIC_SPECIES
La 138.91 La.upf
Sn 118.71 Sn.upf
As 74.92 As.upf
Se 78.96 Se.upf
CELL_PARAMETERS angstrom
7.693 0.000 0.000
0.000 4.384 0.000
-2.519 0.000 7.308
ATOMIC_POSITIONS angstrom
La 1.253 0.000 1.731
La 0.023 2.192 5.564
La 5.151 2.192 1.745
La 3.920 0.000 5.578
Sn 2.587 2.192 3.654
As 0.000 2.192 0.000
As 3.846 0.000 0.000
Se -1.259 0.000 3.654
```

---

Entry 9:
First-principles (PBE) data for crystalline SrLaAsSe at its relaxed geometry, as listed in Alexandria via LeMat-Bulk. Values from VASP.

Properties
Calculated density ... 5.145 g/cm³
Energy ... -21.8 eV per formula unit
ΔE_f (raw) ... -1763 meV per atom
Space group ... R3m
Size of the total moment ... 0.00 μB per formula unit
Calculated volume ... 30.69 Å³ per atom

Quantum ESPRESSO input file:
```
&SYSTEM
  ibrav = 0, nat = 12, ntyp = 4
/
ATOMIC_SPECIES
Sr 87.62 Sr.upf
La 138.91 La.upf
As 74.92 As.upf
Se 78.96 Se.upf
CELL_PARAMETERS angstrom
4.425 0.000 0.000
-2.213 3.832 0.000
0.000 0.000 21.719
ATOMIC_POSITIONS angstrom
Sr 0.000 0.000 0.000
Sr 0.000 2.555 14.479
Sr 2.213 1.277 7.240
La 0.000 0.000 11.005
La 0.000 2.555 3.766
La 2.213 1.277 18.245
As 0.000 0.000 5.362
As 0.000 2.555 19.841
As 2.213 1.277 12.601
Se 0.000 0.000 16.405
Se 0.000 2.555 9.165
Se 2.213 1.277 1.926
```

---

Entry 10:
First-principles (PBE) data for crystalline LaTaAsSe2 at its relaxed geometry, as listed in Alexandria via LeMat-Bulk. Values from VASP.

Properties
Calculated density ... 5.330 g/cm³
Energy ... -23.9 eV per formula unit
ΔE_f (raw) ... 891 meV per atom
Space group ... P4/mmm
Polymorph energy (0 for the lowest one) ... 8.43 eV per formula unit
N(E_F) ... 1.314 states/eV/atom
Size of the total moment ... 1.76 μB per formula unit
Calculated volume ... 34.44 Å³ per atom

Quantum ESPRESSO input file:
```
&SYSTEM
  ibrav = 0, nat = 5, ntyp = 4
/
ATOMIC_SPECIES
La 138.91 La.upf
Ta 180.95 Ta.upf
As 74.92 As.upf
Se 78.96 Se.upf
CELL_PARAMETERS angstrom
5.570 0.000 0.000
0.000 5.570 0.000
0.000 0.000 5.550
ATOMIC_POSITIONS angstrom
La 0.000 0.000 0.000
Ta 2.785 2.785 2.775
As 0.000 0.000 2.775
Se 0.000 2.785 0.000
Se 2.785 0.000 0.000
```

---

Entry 11:
First-principles (PBE) data for crystalline LaTaAsSe2 at its relaxed geometry, as listed in Alexandria via LeMat-Bulk. Values from VASP.

Properties
Calculated density ... 7.225 g/cm³
Energy ... -32.4 eV per formula unit
ΔE_f (raw) ... -795 meV per atom
Space group ... P4/mmm
Polymorph energy (0 for the lowest one) ... 0.00 eV per formula unit
N(E_F) ... 0.440 states/eV/atom
Size of the total moment ... 0.00 μB per formula unit
Calculated volume ... 25.41 Å³ per atom

Quantum ESPRESSO input file:
```
&SYSTEM
  ibrav = 0, nat = 5, ntyp = 4
/
ATOMIC_SPECIES
La 138.91 La.upf
Ta 180.95 Ta.upf
As 74.92 As.upf
Se 78.96 Se.upf
CELL_PARAMETERS angstrom
5.009 0.000 0.000
0.000 5.009 0.000
0.000 0.000 5.063
ATOMIC_POSITIONS angstrom
La 0.000 0.000 0.000
Ta 2.505 2.505 2.531
As 2.505 2.505 0.000
Se 0.000 2.505 2.531
Se 2.505 0.000 2.531
```

---

Entry 12:
First-principles (PBE) data for crystalline La2TcAsSe at its relaxed geometry, as listed in Alexandria via LeMat-Bulk. Values from VASP.

Properties
Calculated density ... 5.443 g/cm³
Energy ... -26.6 eV per formula unit
ΔE_f (raw) ... 346 meV per atom
Space group ... P4/mmm
N(E_F) ... 0.969 states/eV/atom
Size of the total moment ... 2.37 μB per formula unit
Calculated volume ... 32.32 Å³ per atom

Quantum ESPRESSO input file:
```
&SYSTEM
  ibrav = 0, nat = 5, ntyp = 4
/
ATOMIC_SPECIES
La 138.91 La.upf
Tc 98.00 Tc.upf
As 74.92 As.upf
Se 78.96 Se.upf
CELL_PARAMETERS angstrom
5.705 0.000 0.000
0.000 5.705 0.000
0.000 0.000 4.965
ATOMIC_POSITIONS angstrom
La 0.000 2.853 0.000
La 2.853 0.000 0.000
Tc 0.000 0.000 2.482
As 2.853 2.853 0.000
Se 2.853 2.853 2.482
```

---

Q: Look up the calculated volume of the sixth one.
A: 36.41 Å³ per atom

---

Q: ΔE_f (raw) of number 11 (LaTaAsSe2)?
A: -795 meV per atom

---

Q: Which value of size of the total moment does entry 9 give?
A: 0.00 μB per formula unit

---

Q: Among the records above, which one has the lowest ΔE_f (raw)?
A: LaSmAsSe